# BaCdS2

A geometry-optimized BaCdS2 structure (PBE, the Alexandria database).

Properties
space-group type	R-3m (166)
ΔE_f (raw)	-0.41	eV/atom

Lattice parameters (Å, degrees): 8.705 8.705 8.705 28.11 28.11 28.11
Fractional coordinates of all 4 atoms:
1 Ba 0.000 0.000 0.000
2 Cd 0.500 0.500 0.500
3 S 0.114 0.114 0.114
4 S 0.886 0.886 0.886

---

# KCdOs2

A geometry-optimized KCdOs2 structure (PBE, the Alexandria database).

Properties
space-group type	Imm2 (44)

Lattice parameters (Å, degrees): 5.255 5.255 5.255 133.62 121.34 77.88
Fractional coordinates of all 4 atoms:
1 K 0.000 0.000 0.000
2 Cd 0.716 0.216 0.500
3 Os 0.284 0.784 0.500
4 Os 0.427 0.427 0.000

---

# SrCrSBr2

A geometry-optimized SrCrSBr2 structure (PBE, the Alexandria database).

Properties
space-group type	P4/mmm (123)
ΔE_f (raw)	0.07	eV/atom

Lattice parameters (Å, degrees): 5.677 5.677 5.441 90.00 90.00 90.00
Fractional coordinates of all 5 atoms:
1 Sr 0.000 0.000 0.000
2 Cr 0.500 0.500 0.000
3 S 0.000 0.000 0.500
4 Br 0.000 0.500 0.500
5 Br 0.500 0.000 0.500

---

# TiCr3Ag3S8

A geometry-optimized TiCr3Ag3S8 structure (PBE, the Alexandria database).

Properties
space-group type	C2/m (12)
ΔE_f (raw)	-0.57	eV/atom

Lattice parameters (Å, degrees): 6.968 6.968 7.729 117.22 117.22 60.01
Fractional coordinates of all 15 atoms:
1 Ti 0.000 0.000 0.000
2 Cr 0.000 0.500 0.000
3 Cr 0.500 0.000 0.000
4 Cr 0.500 0.500 0.000
5 Ag 0.000 0.000 0.500
6 Ag 0.000 0.500 0.500
7 Ag 0.500 0.000 0.500
8 S 0.239 0.239 0.208
9 S 0.239 0.734 0.209
10 S 0.265 0.265 0.798
11 S 0.266 0.761 0.791
12 S 0.734 0.239 0.209
13 S 0.735 0.735 0.202
14 S 0.761 0.266 0.791
15 S 0.761 0.761 0.792

---

# CuHgPd6

A geometry-optimized CuHgPd6 structure (PBE, the Alexandria database).

Properties
space-group type	P4/mmm (123)

Lattice parameters (Å, degrees): 3.984 3.984 7.926 90.00 90.00 90.00
Fractional coordinates of all 8 atoms:
1 Cu 0.000 0.000 0.000
2 Hg 0.000 0.000 0.500
3 Pd 0.000 0.500 0.237
4 Pd 0.000 0.500 0.763
5 Pd 0.500 0.000 0.237
6 Pd 0.500 0.000 0.763
7 Pd 0.500 0.500 0.000
8 Pd 0.500 0.500 0.500

---

# CsSrBi

A geometry-optimized CsSrBi structure (PBE, the Alexandria database).

Properties
space-group type	I4mm (107)

Lattice parameters (Å, degrees): 7.822 7.822 7.822 145.05 145.05 50.25
Fractional coordinates of all 3 atoms:
1 Cs 0.000 0.000 0.000
2 Sr 0.257 0.257 0.000
3 Bi 0.706 0.706 0.000

---

# Ca2LaPmS4

A geometry-optimized Ca2LaPmS4 structure (PBE, the Alexandria database).

Properties
space-group type	P2/m (10)
ΔE_f (raw)	-2.08	eV/atom

Lattice parameters (Å, degrees): 6.998 4.042 7.110 90.00 109.14 90.00
Fractional coordinates of all 8 atoms:
1 Ca 0.000 0.000 0.000
2 Ca 0.500 0.500 0.000
3 La 0.000 0.500 0.500
4 Pm 0.500 0.000 0.500
5 S 0.252 0.500 0.244
6 S 0.257 0.000 0.759
7 S 0.743 0.000 0.241
8 S 0.748 0.500 0.756

---

# Fe2TeCl

A geometry-optimized Fe2TeCl structure (PBE, the Alexandria database).

Properties
space-group type	R3m (160)
ΔE_f (raw)	-0.03	eV/atom

Lattice parameters (Å, degrees): 9.210 9.210 9.210 20.35 20.35 20.35
Fractional coordinates of all 4 atoms:
1 Fe 0.000 0.000 0.000
2 Fe 0.270 0.270 0.270
3 Te 0.535 0.535 0.535
4 Cl 0.723 0.723 0.723

---

# Ce2ZnNi12H3

A geometry-optimized Ce2ZnNi12H3 structure (PBE, the Alexandria database).

Properties
space-group type	R-3m (166)

Lattice parameters (Å, degrees): 6.739 6.739 6.739 58.49 58.49 58.49
Fractional coordinates of all 18 atoms:
1 Ce 0.101 0.101 0.101
2 Ce 0.899 0.899 0.899
3 Zn 0.500 0.500 0.500
4 Ni 0.042 0.645 0.645
5 Ni 0.225 0.225 0.601
6 Ni 0.225 0.601 0.225
7 Ni 0.355 0.355 0.958
8 Ni 0.355 0.958 0.355
9 Ni 0.399 0.775 0.775
10 Ni 0.601 0.225 0.225
11 Ni 0.645 0.042 0.645
12 Ni 0.645 0.645 0.042
13 Ni 0.775 0.399 0.775
14 Ni 0.775 0.775 0.399
15 Ni 0.958 0.355 0.355
16 H 0.000 0.500 0.500
17 H 0.500 0.000 0.500
18 H 0.500 0.500 0.000

---

# LiGaSn

A geometry-optimized LiGaSn structure (PBE, the Alexandria database).

Properties
space-group type	C2/m (12)

Lattice parameters (Å, degrees): 4.537 4.537 7.959 106.74 106.74 60.05
Fractional coordinates of all 6 atoms:
1 Li 0.200 0.200 0.098
2 Li 0.800 0.800 0.902
3 Ga 0.440 0.440 0.824
4 Ga 0.560 0.560 0.176
5 Sn 0.062 0.062 0.692
6 Sn 0.938 0.938 0.308

---

# Mg3Sc3Hg2

A geometry-optimized Mg3Sc3Hg2 structure (PBE, the Alexandria database).

Properties
space-group type	Pmmm (47)

Lattice parameters (Å, degrees): 4.784 4.796 7.562 90.00 90.00 90.00
Fractional coordinates of all 8 atoms:
1 Mg 0.000 0.000 0.000
2 Mg 0.500 0.000 0.242
3 Mg 0.500 0.000 0.758
4 Sc 0.000 0.000 0.500
5 Sc 0.500 0.500 0.000
6 Sc 0.500 0.500 0.500
7 Hg 0.000 0.500 0.249
8 Hg 0.000 0.500 0.751

---

# La2CeHo3As6

A geometry-optimized La2CeHo3As6 structure (PBE, the Alexandria database).

Properties
space-group type	C2/m (12)

Lattice parameters (Å, degrees): 9.409 9.409 8.422 102.75 102.75 25.91
Fractional coordinates of all 12 atoms:
1 La 0.166 0.166 0.334
2 La 0.834 0.834 0.666
3 Ce 0.500 0.500 0.000
4 Ho 0.167 0.167 0.834
5 Ho 0.500 0.500 0.500
6 Ho 0.833 0.833 0.166
7 As 0.004 0.004 0.749
8 As 0.333 0.333 0.926
9 As 0.337 0.337 0.408
10 As 0.663 0.663 0.592
11 As 0.667 0.667 0.074
12 As 0.996 0.996 0.251

---

# KZnCr

A geometry-optimized KZnCr structure (PBE, the Alexandria database).

Properties
space-group type	F-43m (216)

Lattice parameters (Å, degrees): 5.429 5.429 5.429 60.00 60.00 60.00
Fractional coordinates of all 3 atoms:
1 K 0.000 0.000 0.000
2 Zn 0.250 0.250 0.250
3 Cr 0.750 0.750 0.750

---

# AcZnCd8Ag2

A geometry-optimized AcZnCd8Ag2 structure (PBE, the Alexandria database).

Properties
space-group type	C2/m (12)

Lattice parameters (Å, degrees): 5.249 5.249 11.257 91.88 91.88 68.29
Fractional coordinates of all 12 atoms:
1 Ac 0.000 0.000 0.000
2 Zn 0.000 0.000 0.500
3 Cd 0.177 0.687 0.700
4 Cd 0.313 0.823 0.300
5 Cd 0.329 0.329 0.462
6 Cd 0.348 0.348 0.907
7 Cd 0.652 0.652 0.093
8 Cd 0.671 0.671 0.538
9 Cd 0.687 0.177 0.700
10 Cd 0.823 0.313 0.300
11 Ag 0.319 0.319 0.168
12 Ag 0.681 0.681 0.832

---

# Ba2Li5Ag4

A geometry-optimized Ba2Li5Ag4 structure (PBE, the Alexandria database).

Properties
space-group type	Fmmm (69)

Lattice parameters (Å, degrees): 9.719 8.757 6.140 79.31 62.31 38.38
Fractional coordinates of all 11 atoms:
1 Ba 0.145 0.145 0.855
2 Ba 0.855 0.855 0.145
3 Li 0.000 0.000 0.500
4 Li 0.250 0.250 0.250
5 Li 0.500 0.500 0.000
6 Li 0.500 0.500 0.500
7 Li 0.750 0.750 0.750
8 Ag 0.219 0.516 0.484
9 Ag 0.484 0.781 0.219
10 Ag 0.516 0.219 0.781
11 Ag 0.781 0.484 0.516

---

# NbAlCo

A geometry-optimized NbAlCo structure (PBE, the Alexandria database).

Properties
space-group type	Cmcm (63)

Lattice parameters (Å, degrees): 5.816 5.816 3.972 90.00 90.00 140.00
Fractional coordinates of all 6 atoms:
1 Nb 0.094 0.906 0.750
2 Nb 0.906 0.094 0.250
3 Al 0.395 0.605 0.750
4 Al 0.605 0.395 0.250
5 Co 0.252 0.748 0.250
6 Co 0.748 0.252 0.750

---

# CaAlRe2Ag

A geometry-optimized CaAlRe2Ag structure (PBE, the Alexandria database).

Properties
space-group type	P4/mmm (123)

Lattice parameters (Å, degrees): 4.631 4.631 4.831 90.00 90.00 90.00
Fractional coordinates of all 5 atoms:
1 Ca 0.000 0.000 0.000
2 Al 0.500 0.500 0.500
3 Re 0.000 0.500 0.500
4 Re 0.500 0.000 0.500
5 Ag 0.500 0.500 0.000

---

# Dy2TlCuSe4

A geometry-optimized Dy2TlCuSe4 structure (PBE, the Alexandria database).

Properties
space-group type	Cmcm (63)
ΔE_f (raw)	-1.31	eV/atom

Lattice parameters (Å, degrees): 7.355 7.355 14.395 90.00 90.00 147.55
Fractional coordinates of all 16 atoms:
1 Dy 0.134 0.866 0.565
2 Dy 0.134 0.866 0.935
3 Dy 0.866 0.134 0.065
4 Dy 0.866 0.134 0.435
5 Tl 0.387 0.613 0.750
6 Tl 0.613 0.387 0.250
7 Cu 0.338 0.662 0.250
8 Cu 0.662 0.338 0.750
9 Se 0.065 0.935 0.750
10 Se 0.235 0.765 0.111
11 Se 0.235 0.765 0.389
12 Se 0.500 0.500 0.000
13 Se 0.500 0.500 0.500
14 Se 0.765 0.235 0.611
15 Se 0.765 0.235 0.889
16 Se 0.935 0.065 0.250

---

| no. | E_tot (eV/atom) |
| --- | --- |
| 1 | -3.18 |
| 2 | -4.96 |
| 3 | -3.68 |
| 4 | -5.79 |
| 5 | -4.51 |
| 6 | -2.61 |
| 7 | -5.86 |
| 8 | -5.51 |
| 9 | -5.25 |
| 10 | -3.20 |
| 11 | -3.29 |
| 12 | -6.30 |
| 13 | -2.78 |
| 14 | -1.57 |
| 15 | -2.42 |
| 16 | -7.31 |
| 17 | -5.54 |
| 18 | -5.01 |